1.
CaTm2Mg after structural relaxation. Source: Alexandria, functional PBE.

extended XYZ file:
```
4
Lattice="-1.3510 -2.6004 -2.2997 -2.0246 -1.4143 2.7887 -6.7576 5.4189 -2.1577" Properties=species:S:1:pos:R:3 pbc="T T T"
Mg -1.6878 -2.0074 0.2445
Tm -1.3657 1.0951 -0.4361
Tm -5.3919 4.3237 -1.7216
Ca -5.0666 0.7020 -0.8343
```

Computed properties:
Size of the total moment in μB per formula unit: 0.000
Calculated formation energy in eV per atom: 0.05
Energy above the lowest structure with this stoichiometry in meV per atom: 0


2.
CaTmMg2 after structural relaxation. Source: Alexandria, functional PBE.

extended XYZ file:
```
4
Lattice="3.8520 0.0000 0.0000 0.0000 3.8520 0.0000 0.0000 0.0000 7.7434" Properties=species:S:1:pos:R:3 pbc="T T T"
Tm 1.9260 1.9260 0.0000
Mg 0.0000 0.0000 5.9411
Mg 0.0000 0.0000 1.8022
Ca 1.9260 1.9260 3.8717
```

Computed properties:
Size of the total moment in μB per formula unit: 0.001
Calculated formation energy in eV per atom: -0.06


3.
CaTm2Mg6 after structural relaxation. Source: Alexandria, functional PBE.

extended XYZ file:
```
9
Lattice="3.3776 -0.0005 0.0003 -0.0006 7.8354 4.5060 -0.0022 0.0161 9.0387" Properties=species:S:1:pos:R:3 pbc="T T T"
Mg 1.6928 2.6477 1.5232
Mg 1.6872 2.6585 7.5070
Mg 1.6820 5.2033 12.0219
Mg 1.6825 7.8456 10.4902
Mg 1.6877 5.1925 6.0381
Mg 1.6923 0.0054 3.0549
Tm -0.0009 2.6171 4.5148
Tm 3.3757 5.2339 9.0303
Ca 0.0000 0.0000 0.0000
```

Computed properties:
Size of the total moment in μB per formula unit: 0.000
Calculated formation energy in eV per atom: -0.04
Energy above the lowest structure with this stoichiometry in meV per atom: 0


4.
CaTmMg after structural relaxation. Source: Alexandria, functional PBE.

extended XYZ file:
```
3
Lattice="-2.2355 -1.5992 -2.4659 2.4970 -2.6675 -0.5338 -2.9996 -1.5507 6.4898" Properties=species:S:1:pos:R:3 pbc="T T T"
Tm -1.8065 -2.3198 3.1421
Ca -0.0692 -0.0889 0.1204
Mg -0.8624 -3.4087 0.2276
```

Computed properties:
Size of the total moment in μB per formula unit: 0.000
Calculated formation energy in eV per atom: 0.03
Energy above the lowest structure with this stoichiometry in meV per atom: 55


> The highest size of the total moment belongs to which entry?

CaTmMg2